Model one:
{"formula": "Rb3LiErV2O8", "functional": "PBE with a Hubbard U", "state": "optimized geometry", "space_group": "C2/m (12)", "m_tot_mub_per_cell": 1.00, "volume_a3_per_cell": 271.2, "lattice": [[5.1705, -3.0665, 0.0000], [5.1705, 3.0665, 0.0000], [-0.5621, 0.0000, 8.5518]], "species": ["Rb", "Rb", "Rb", "Li", "Er", "V", "V", "O", "O", "O", "O", "O", "O", "O", "O"], "frac_coords": [[0.0000, 0.0000, 0.0000], [0.3357, 0.3357, 0.7628], [0.6643, 0.6643, 0.2372], [0.5000, 0.5000, 0.5000], [0.0000, 0.0000, 0.5000], [0.3126, 0.3126, 0.2742], [0.6874, 0.6874, 0.7258], [0.1448, 0.1448, 0.3080], [0.1725, 0.6231, 0.3734], [0.3408, 0.3408, 0.0792], [0.3769, 0.8275, 0.6266], [0.6231, 0.1725, 0.3734], [0.6592, 0.6592, 0.9208], [0.8275, 0.3769, 0.6266], [0.8552, 0.8552, 0.6920]]}



Model two:
{"formula": "Rb3LiErV2O8", "functional": "PBE with a Hubbard U", "state": "optimized geometry", "space_group": "P1 (1)", "m_tot_mub_per_cell": 1.00, "volume_a3_per_cell": 255.9, "lattice": [[6.0788, 0.0000, 0.0000], [3.0090, 5.3547, 0.0000], [0.6207, 0.7357, 7.8629]], "species": ["Rb", "Rb", "Rb", "Li", "Er", "V", "V", "O", "O", "O", "O", "O", "O", "O", "O"], "frac_coords": [[0.0000, 0.0000, 0.0000], [0.3114, 0.2826, 0.3654], [0.6811, 0.5162, 0.6453], [0.6393, 0.9731, 0.7816], [0.6395, 0.6472, 0.1654], [0.3017, 0.3508, 0.9304], [0.9706, 0.9393, 0.4275], [0.2914, 0.7937, 0.3628], [0.3584, 0.2931, 0.7146], [0.4520, 0.5111, 0.0146], [0.4927, 0.0125, 0.0173], [0.8253, 0.2541, 0.3388], [0.8257, 0.7844, 0.3506], [0.9287, 0.9388, 0.6459], [0.9693, 0.5031, 0.9981]]}



Model three:
{"formula": "Rb3LiErV2O8", "functional": "PBE with a Hubbard U", "state": "optimized geometry", "space_group": "P3m1 (156)", "m_tot_mub_per_cell": 1.01, "volume_a3_per_cell": 271.4, "lattice": [[5.9527, 0.0000, 0.0000], [-2.9764, 5.1552, 0.0000], [0.0000, 0.0000, 8.8434]], "species": ["Rb", "Rb", "Rb", "Li", "Er", "V", "V", "O", "O", "O", "O", "O", "O", "O", "O"], "frac_coords": [[0.0000, 0.0000, 0.0000], [0.3333, 0.6667, 0.5369], [0.6667, 0.3333, 0.3451], [0.6667, 0.3333, 0.0389], [0.6667, 0.3333, 0.7600], [0.0000, 0.0000, 0.5367], [0.3333, 0.6667, 0.0035], [0.0000, 0.0000, 0.3455], [0.3242, 0.1621, 0.6005], [0.3333, 0.6667, 0.2004], [0.5039, 0.0078, 0.9305], [0.5039, 0.4961, 0.9305], [0.8379, 0.1621, 0.6005], [0.8379, 0.6758, 0.6005], [0.9922, 0.4961, 0.9305]]}



Q: Which of them is the least stable? A: model three.